Computed, not measured: a crystal of Ir4OsBr relaxed with PBEsol at the SCAN level of DFT.

Output
As for the formation energy from raw total energies: 1433 meV per atom. The value obtained for the calculated volume is 16.00 Å³/atom. As for the crystal system: cubic. As for the density: 17.97 g cm⁻³.

Structure (extended XYZ):
```
6
Lattice="0.000 3.634 3.634 3.634 0.000 3.634 3.634 3.634 0.000" Properties=species:S:1:pos:R:3 pbc="T T T"
Ir 0.905 0.905 0.905
Ir 2.729 2.729 0.905
Ir 2.729 0.905 2.729
Ir 0.905 2.729 2.729
Os 5.451 5.451 5.451
Br 3.634 3.634 3.634
```

=====

Computed, not measured: a crystal of AlPOs2Rh relaxed with PBEsol at the SCAN level of DFT.

Output
The value obtained for the calculated volume is 15.89 Å³/atom. As for the crystal system: tetragonal. As for the density: 11.32 g cm⁻³. For the calculated formation energy, the calculation gives 0.8667 eV/atom.

Structure (extended XYZ):
```
5
Lattice="4.250 0.000 0.000 0.000 4.250 0.000 0.000 0.000 4.398" Properties=species:S:1:pos:R:3 pbc="T T T"
Al 0.000 0.000 0.000
P 0.000 0.000 2.199
Os 0.000 2.125 2.199
Os 2.125 0.000 2.199
Rh 2.125 2.125 0.000
```

=====

Computed, not measured: a crystal of TcHg2As relaxed with PBEsol at the SCAN level of DFT.

Output
The value obtained for the calculated volume is 17.91 Å³/atom. As for the crystal system: tetragonal. As for the density: 13.31 g cm⁻³. For the calculated formation energy, the calculation gives 0.6369 eV/atom.

Structure (extended XYZ):
```
8
Lattice="3.879 0.000 0.000 0.000 3.879 0.000 0.000 0.000 9.522" Properties=species:S:1:pos:R:3 pbc="T T T"
Tc 0.000 0.000 0.000
Tc 1.939 1.939 4.761
Hg 0.000 1.939 2.380
Hg 0.000 1.939 7.141
Hg 1.939 0.000 2.380
Hg 1.939 0.000 7.141
As 0.000 0.000 4.761
As 1.939 1.939 0.000
```

=====

Computed, not measured: a crystal of CdIr3Ru relaxed with PBEsol at the SCAN level of DFT.

Output
The value obtained for the calculated volume is 20.02 Å³/atom. As for the crystal system: cubic. As for the density: 13.11 g cm⁻³. For the calculated formation energy, the calculation gives 1.7284 eV/atom.

Structure (extended XYZ):
```
5
Lattice="4.643 0.000 0.000 0.000 4.643 0.000 0.000 0.000 4.643" Properties=species:S:1:pos:R:3 pbc="T T T"
Cd 0.000 0.000 0.000
Ir 0.000 2.322 2.322
Ir 2.322 0.000 2.322
Ir 2.322 2.322 0.000
Ru 2.322 2.322 2.322
```

=====

Computed, not measured: a crystal of UGa5Ru relaxed with PBEsol at the SCAN level of DFT.

Output
The value obtained for the calculated volume is 17.40 Å³/atom. As for the crystal system: tetragonal. As for the density: 9.38 g cm⁻³. For the calculated formation energy, the calculation gives -0.3511 eV/atom.

Structure (extended XYZ):
```
7
Lattice="4.278 0.000 0.000 0.000 4.278 0.000 0.000 0.000 6.655" Properties=species:S:1:pos:R:3 pbc="T T T"
U 0.000 0.000 0.000
Ga 0.000 2.139 2.001
Ga 0.000 2.139 4.654
Ga 2.139 0.000 2.001
Ga 2.139 0.000 4.654
Ga 2.139 2.139 0.000
Ru 0.000 0.000 3.328
```

=====

Computed, not measured: a crystal of BePS2N relaxed with PBEsol at the SCAN level of DFT.

Output
As for the formation energy from raw total energies: 816 meV per atom. The value obtained for the calculated volume is 12.56 Å³/atom. As for the crystal system: tetragonal. As for the density: 3.12 g cm⁻³.

Structure (extended XYZ):
```
5
Lattice="4.472 0.000 0.000 0.000 4.472 0.000 0.000 0.000 3.139" Properties=species:S:1:pos:R:3 pbc="T T T"
Be 0.000 0.000 0.000
P 2.236 2.236 1.570
S 0.000 2.236 0.000
S 2.236 0.000 0.000
N 0.000 0.000 1.570
```

=====

Computed, not measured: a crystal of ErTe3 relaxed with PBEsol at the SCAN level of DFT.

Output
As for the formation energy from raw total energies: -981 meV per atom. The value obtained for the calculated volume is 28.73 Å³/atom. As for the crystal system: orthorhombic. As for the density: 7.95 g cm⁻³.

Structure (extended XYZ):
```
16
Lattice="4.259 0.000 0.000 0.000 25.326 0.000 0.000 0.000 4.262" Properties=species:S:1:pos:R:3 pbc="T T T"
Er 0.000 4.312 1.065
Er 0.000 21.014 3.196
Er 2.129 8.351 3.196
Er 2.129 16.975 1.065
Te 0.000 1.867 3.196
Te 0.000 7.435 1.065
Te 0.000 10.796 3.196
Te 0.000 14.531 1.065
Te 0.000 17.892 3.196
Te 0.000 23.459 1.065
Te 2.129 1.868 1.065
Te 2.129 5.228 3.196
Te 2.129 10.796 1.065
Te 2.129 14.530 3.196
Te 2.129 20.098 1.065
Te 2.129 23.459 3.196
```

=====

Computed, not measured: a crystal of InRh3 relaxed with PBEsol at the SCAN level of DFT.

Output
The value obtained for the calculated volume is 14.83 Å³/atom. As for the crystal system: monoclinic. As for the density: 11.86 g cm⁻³. For the calculated formation energy, the calculation gives -0.1381 eV/atom.

Structure (extended XYZ):
```
8
Lattice="9.022 0.000 0.000 0.000 2.815 0.000 -0.893 0.000 4.672" Properties=species:S:1:pos:R:3 pbc="T T T"
In 0.000 0.000 0.000
In 4.511 1.407 0.000
Rh -0.447 1.407 2.336
Rh 1.575 0.000 3.426
Rh 2.043 1.407 1.246
Rh 4.065 0.000 2.336
Rh 6.086 1.407 3.426
Rh 6.554 0.000 1.246
```

=====

Computed, not measured: a crystal of Li2Mg2P relaxed with PBEsol at the SCAN level of DFT.

Output
The value obtained for the calculated volume is 16.95 Å³/atom. As for the crystal system: tetragonal. As for the density: 1.83 g cm⁻³. For the calculated formation energy, the calculation gives -0.2136 eV/atom.

Structure (extended XYZ):
```
10
Lattice="6.219 0.000 0.000 0.000 6.219 0.000 0.000 0.000 4.382" Properties=species:S:1:pos:R:3 pbc="T T T"
Li 0.907 2.203 0.000
Li 2.203 5.312 0.000
Li 4.017 0.907 0.000
Li 5.312 4.017 0.000
Mg 1.088 4.198 2.191
Mg 2.021 1.088 2.191
Mg 4.198 5.131 2.191
Mg 5.131 2.021 2.191
P 0.000 0.000 0.000
P 3.110 3.110 0.000
```

=====

Computed, not measured: a crystal of BeZnCl2 relaxed with PBEsol at the SCAN level of DFT.

Output
As for the formation energy from raw total energies: 558 meV per atom. The value obtained for the calculated volume is 17.63 Å³/atom. As for the crystal system: cubic. As for the density: 3.42 g cm⁻³. The value obtained for the energy above the most stable polymorph in this dataset is 1297 meV/atom.

Structure (extended XYZ):
```
16
Lattice="6.559 0.000 0.000 0.000 6.559 0.000 0.000 0.000 6.559" Properties=species:S:1:pos:R:3 pbc="T T T"
Be 0.000 0.000 0.000
Be 0.000 3.279 3.279
Be 3.279 0.000 3.279
Be 3.279 3.279 0.000
Zn 1.640 1.640 1.640
Zn 1.640 4.919 4.919
Zn 4.919 1.640 4.919
Zn 4.919 4.919 1.640
Cl 0.000 0.000 3.279
Cl 0.000 3.279 0.000
Cl 1.640 1.640 4.919
Cl 1.640 4.919 1.640
Cl 3.279 0.000 0.000
Cl 3.279 3.279 3.279
Cl 4.919 1.640 1.640
Cl 4.919 4.919 4.919
```

=====

Computed, not measured: a crystal of Ba2CaCuMo2F14 relaxed with PBEsol at the SCAN level of DFT.

Output
As for the formation energy from raw total energies: -3174 meV per atom. The value obtained for the calculated volume is 14.38 Å³/atom. As for the crystal system: monoclinic. As for the density: 4.83 g cm⁻³.

Structure (extended XYZ):
```
40
Lattice="7.046 -2.700 0.000 7.046 2.700 0.000 -0.324 0.000 15.119" Properties=species:S:1:pos:R:3 pbc="T T T"
Ba 2.504 0.436 1.850
Ba 2.342 -0.436 9.409
Ba 11.426 0.436 5.710
Ba 11.264 -0.436 13.269
Ca 6.965 0.352 3.780
Ca 6.803 -0.352 11.339
Cu 7.046 0.000 0.000
Cu 6.884 0.000 7.560
Mo 1.644 0.090 5.668
Mo 1.482 -0.090 13.228
Mo 12.286 0.090 1.891
Mo 12.124 -0.090 9.451
F 4.683 1.577 3.425
F 6.815 2.188 5.196
F 5.549 1.647 7.768
F 7.115 2.188 2.364
F 4.910 1.214 0.664
F 3.560 0.542 5.972
F 5.132 1.145 10.853
F 8.057 1.647 14.910
F 3.399 -0.542 13.532
F 6.159 0.474 13.351
F 9.246 1.577 4.135
F 8.473 1.145 11.826
F 9.020 1.214 6.896
F 7.446 0.474 9.328
F 6.321 -0.474 5.791
F 4.748 -1.214 8.223
F 5.294 -1.145 3.294
F 4.521 -1.577 10.985
F 7.608 -0.474 1.768
F 10.369 0.542 1.587
F 5.711 -1.647 0.209
F 8.635 -1.145 4.266
F 10.207 -0.542 9.147
F 8.858 -1.214 14.455
F 6.653 -2.188 12.755
F 8.219 -1.647 7.351
F 6.953 -2.188 9.924
F 9.084 -1.577 11.694
```

=====

Computed, not measured: a crystal of FeCoBr relaxed with PBEsol at the SCAN level of DFT.

Output
As for the formation energy from raw total energies: 782 meV per atom. The value obtained for the calculated volume is 13.95 Å³/atom. As for the crystal system: trigonal. As for the density: 7.73 g cm⁻³.

Structure (extended XYZ):
```
3
Lattice="4.028 0.000 0.000 -2.014 3.489 0.000 0.000 0.000 2.977" Properties=species:S:1:pos:R:3 pbc="T T T"
Fe 0.000 0.000 0.000
Co 0.000 2.326 1.628
Br 2.014 1.163 1.366
```

=====

Q: Which of these has the highest calculated volume?
A: ErTe3

=====

Q: Which of these has the highest calculated volume?
A: ErTe3

=====

Q: Among the records above, which one has the lowest calculated volume?
A: BePS2N